DFT (GGA+U) results for a relaxed Rb3Ho2MnO6 crystal.

The value obtained for the total energy is -6.357 eV per atom.

It has space group C2/m (No. 12), with a = 6.072 Å, b = 9.995 Å, c = 6.876 Å, α = 90.00°, β = 108.76° and γ = 90.00°. The distinct sites, in fractional coordinates, are Rb at (0.000, 0.000, 0.000), Rb at (0.000, 0.334, 0.000), Ho at (0.000, 0.164, 0.500), Mn at (0.000, 0.500, 0.500), O at (0.210, 0.000, 0.697) and O at (0.210, 0.349, 0.659).